1.
The following is a PBE calculation of a geometry-optimized YAsIBr2 structure, from Alexandria via LeMat-Bulk.

a = 5.5399 Å, b = 5.5399 Å, c = 5.6676 Å
α = 90.00°, β = 90.00°, γ = 90.00°
Fractional coordinates of all 5 atoms:
Y: 0.0000 0.0000 0.0000
As: 0.5000 0.5000 0.0000
I: 0.5000 0.5000 0.5000
Br: 0.0000 0.5000 0.5000
Br: 0.5000 0.0000 0.5000

For the energy relative to the elements, uncorrected, the calculation gives 0.367 eV/atom. The space group is No. 123. For the volume, the calculation gives 34.8 Å³/atom. The density of states at the Fermi level is 2.45 states/eV/cell. The energy relative to the lowest polymorph listed for this composition comes out at 1038 meV/atom.

2.
The following is a PBE calculation of a geometry-optimized YAsIBr2 structure, from Alexandria via LeMat-Bulk.

a = 5.3904 Å, b = 5.3904 Å, c = 6.1886 Å
α = 90.00°, β = 90.00°, γ = 90.00°
Fractional coordinates of all 5 atoms:
Y: 0.0000 0.0000 0.0000
As: 0.0000 0.0000 0.5000
I: 0.5000 0.5000 0.5000
Br: 0.0000 0.5000 0.0000
Br: 0.5000 0.0000 0.0000

For the energy relative to the elements, uncorrected, the calculation gives -0.670 eV/atom. The space group is No. 123. For the volume, the calculation gives 36.0 Å³/atom. The density of states at the Fermi level is 1.49 states/eV/cell. The energy relative to the lowest polymorph listed for this composition comes out at 0 meV/atom.

3.
The following is a PBE calculation of a geometry-optimized ZnAsIBr2 structure, from Alexandria via LeMat-Bulk.

a = 4.9429 Å, b = 4.9429 Å, c = 5.6738 Å
α = 90.00°, β = 90.00°, γ = 90.00°
Fractional coordinates of all 5 atoms:
Zn: 0.0000 0.0000 0.0000
As: 0.0000 0.0000 0.5000
I: 0.5000 0.5000 0.5000
Br: 0.0000 0.5000 0.0000
Br: 0.5000 0.0000 0.0000

For the energy relative to the elements, uncorrected, the calculation gives 0.157 eV/atom. The space group is No. 123. For the volume, the calculation gives 27.7 Å³/atom. The density of states at the Fermi level is 3.02 states/eV/cell. The energy relative to the lowest polymorph listed for this composition comes out at 0 meV/atom.

4.
The following is a PBE calculation of a geometry-optimized ZnAs2IBr structure, from Alexandria via LeMat-Bulk.

a = 5.5682 Å, b = 5.5682 Å, c = 5.6496 Å
α = 90.00°, β = 90.00°, γ = 90.00°
Fractional coordinates of all 5 atoms:
Zn: 0.0000 0.0000 0.0000
As: 0.0000 0.5000 0.5000
As: 0.5000 0.0000 0.5000
I: 0.0000 0.0000 0.5000
Br: 0.5000 0.5000 0.0000

For the energy relative to the elements, uncorrected, the calculation gives 1.017 eV/atom. The space group is No. 123. For the volume, the calculation gives 35.0 Å³/atom. The density of states at the Fermi level is 4.46 states/eV/cell. The energy relative to the lowest polymorph listed for this composition comes out at 550 meV/atom.

5.
The following is a PBE calculation of a geometry-optimized ZnAs2IBr structure, from Alexandria via LeMat-Bulk.

a = 5.5534 Å, b = 5.5534 Å, c = 5.8580 Å
α = 90.00°, β = 90.00°, γ = 90.00°
Fractional coordinates of all 5 atoms:
Zn: 0.0000 0.0000 0.0000
As: 0.0000 0.5000 0.5000
As: 0.5000 0.0000 0.5000
I: 0.5000 0.5000 0.5000
Br: 0.5000 0.5000 0.0000

For the energy relative to the elements, uncorrected, the calculation gives 1.021 eV/atom. The space group is No. 123. For the volume, the calculation gives 36.1 Å³/atom. The density of states at the Fermi level is 4.63 states/eV/cell. The energy relative to the lowest polymorph listed for this composition comes out at 554 meV/atom.

6.
The following is a PBE calculation of a geometry-optimized ZnAsIBr2 structure, from Alexandria via LeMat-Bulk.

a = 5.8060 Å, b = 5.8060 Å, c = 5.5161 Å
α = 90.00°, β = 90.00°, γ = 90.00°
Fractional coordinates of all 5 atoms:
Zn: 0.0000 0.0000 0.0000
As: 0.5000 0.5000 0.0000
I: 0.5000 0.5000 0.5000
Br: 0.0000 0.5000 0.5000
Br: 0.5000 0.0000 0.5000

For the energy relative to the elements, uncorrected, the calculation gives 0.618 eV/atom. The space group is No. 123. For the volume, the calculation gives 37.2 Å³/atom. The density of states at the Fermi level is 2.34 states/eV/cell. The energy relative to the lowest polymorph listed for this composition comes out at 462 meV/atom.

7.
The following is a PBE calculation of a geometry-optimized ZnAs2IBr structure, from Alexandria via LeMat-Bulk.

a = 5.0937 Å, b = 5.0937 Å, c = 4.9989 Å
α = 90.00°, β = 90.00°, γ = 90.00°
Fractional coordinates of all 5 atoms:
Zn: 0.0000 0.0000 0.0000
As: 0.0000 0.5000 0.0000
As: 0.5000 0.0000 0.0000
I: 0.5000 0.5000 0.5000
Br: 0.0000 0.0000 0.5000

For the energy relative to the elements, uncorrected, the calculation gives 0.467 eV/atom. The space group is No. 123. For the volume, the calculation gives 25.9 Å³/atom. The density of states at the Fermi level is 3.79 states/eV/cell. The energy relative to the lowest polymorph listed for this composition comes out at 0 meV/atom.

8.
The following is a PBE calculation of a geometry-optimized ZrAs2IBr structure, from Alexandria via LeMat-Bulk.

a = 5.3530 Å, b = 5.3530 Å, c = 5.3858 Å
α = 90.00°, β = 90.00°, γ = 90.00°
Fractional coordinates of all 5 atoms:
Zr: 0.0000 0.0000 0.0000
As: 0.0000 0.5000 0.5000
As: 0.5000 0.0000 0.5000
I: 0.5000 0.5000 0.5000
Br: 0.5000 0.5000 0.0000

For the energy relative to the elements, uncorrected, the calculation gives 1.101 eV/atom. The space group is No. 123. For the volume, the calculation gives 30.9 Å³/atom. The density of states at the Fermi level is 3.25 states/eV/cell. The energy relative to the lowest polymorph listed for this composition comes out at 1157 meV/atom.

9.
The following is a PBE calculation of a geometry-optimized ZrAs2IBr structure, from Alexandria via LeMat-Bulk.

a = 5.3463 Å, b = 5.3463 Å, c = 5.2171 Å
α = 90.00°, β = 90.00°, γ = 90.00°
Fractional coordinates of all 5 atoms:
Zr: 0.0000 0.0000 0.0000
As: 0.0000 0.5000 0.0000
As: 0.5000 0.0000 0.0000
I: 0.5000 0.5000 0.5000
Br: 0.0000 0.0000 0.5000

For the energy relative to the elements, uncorrected, the calculation gives -0.057 eV/atom. The space group is No. 123. For the volume, the calculation gives 29.8 Å³/atom. The density of states at the Fermi level is 4.91 states/eV/cell. The energy relative to the lowest polymorph listed for this composition comes out at 0 meV/atom.

10.
The following is a PBE calculation of a geometry-optimized InAs2Br structure, from Alexandria via LeMat-Bulk.

a = 7.4312 Å, b = 7.4312 Å, c = 7.4312 Å
α = 148.85°, β = 148.85°, γ = 44.63°
Fractional coordinates of all 4 atoms:
In: 0.0000 0.0000 0.0000
As: 0.2500 0.7500 0.5000
As: 0.7500 0.2500 0.5000
Br: 0.5000 0.5000 0.0000

For the energy relative to the elements, uncorrected, the calculation gives 0.213 eV/atom. The space group is No. 139. For the volume, the calculation gives 27.4 Å³/atom. The density of states at the Fermi level is 3.71 states/eV/cell. The energy relative to the lowest polymorph listed for this composition comes out at 446 meV/atom.

11.
The following is a PBE calculation of a geometry-optimized InAs2Br structure, from Alexandria via LeMat-Bulk.

a = 4.5297 Å, b = 4.2471 Å, c = 5.9955 Å
α = 90.00°, β = 111.07°, γ = 90.00°
Fractional coordinates of all 4 atoms:
In: 0.0000 0.0000 0.0000
As: 0.2525 0.5000 0.8346
As: 0.7475 0.5000 0.1654
Br: 0.5000 0.0000 0.5000

For the energy relative to the elements, uncorrected, the calculation gives -0.117 eV/atom. The space group is No. 10. For the volume, the calculation gives 26.9 Å³/atom. The density of states at the Fermi level is 0.65 states/eV/cell. The energy relative to the lowest polymorph listed for this composition comes out at 116 meV/atom.

12.
The following is a PBE calculation of a geometry-optimized InAs2Br structure, from Alexandria via LeMat-Bulk.

a = 6.1040 Å, b = 6.1040 Å, c = 3.6496 Å
α = 90.12°, β = 90.12°, γ = 121.38°
Fractional coordinates of all 4 atoms:
In: 0.0000 0.0000 0.0000
As: 0.5437 0.4563 0.0000
As: 0.6993 0.3007 0.5000
Br: 0.2310 0.7690 0.5000

For the energy relative to the elements, uncorrected, the calculation gives -0.129 eV/atom. The space group is No. 5. For the volume, the calculation gives 29.0 Å³/atom. The density of states at the Fermi level is 0.73 states/eV/cell. The energy relative to the lowest polymorph listed for this composition comes out at 104 meV/atom.

> Among the records above, which one has the lowest energy relative to the elements, uncorrected?

number 2

> The lowest energy relative to the elements, uncorrected belongs to which entry?

number 2

> Look up the volume of the ninth one.

29.8 Å³/atom

Please write out number 12 again, unchanged.
The following is a PBE calculation of a geometry-optimized InAs2Br structure, from Alexandria via LeMat-Bulk.

a = 6.1040 Å, b = 6.1040 Å, c = 3.6496 Å
α = 90.12°, β = 90.12°, γ = 121.38°
Fractional coordinates of all 4 atoms:
In: 0.0000 0.0000 0.0000
As: 0.5437 0.4563 0.0000
As: 0.6993 0.3007 0.5000
Br: 0.2310 0.7690 0.5000

For the energy relative to the elements, uncorrected, the calculation gives -0.129 eV/atom. The space group is No. 5. For the volume, the calculation gives 29.0 Å³/atom. The density of states at the Fermi level is 0.73 states/eV/cell. The energy relative to the lowest polymorph listed for this composition comes out at 104 meV/atom.